DFT (GGA-PBE) results for CeErZnGe after structural relaxation.

a b c (Å): 5.0517 5.0517 5.0517
angles (deg): 60.00 60.00 60.00
Closest atoms and distances in Å follow each position.
Positions (direct):
Ge  0.5000  0.5000  0.5000  4 Ce 3.09, 4 Er 3.09
Zn  0.0000  0.0000  0.0000  4 Ce 3.09, 4 Er 3.09
Ce  0.7500  0.7500  0.7500  4 Ge 3.09, 4 Zn 3.09
Er  0.2500  0.2500  0.2500  4 Ge 3.09, 4 Zn 3.09

Summary:
**M_tot**: 0.798 Bohr magnetons per cell
**Density**: 8.1 g/cm³
**Space-group type**: F-43m, No. 216
**Density of states at the Fermi level**: 1.656 states/eV per atom
**ΔH_f (0 K)**: -0.48 eV per atom